<i>
A plane-wave DFT calculation with PBE was carried out for crystalline Si2HPd8 at its relaxed geometry.

CIF file:
```
data_Si2HPd8
_chemical_formula_sum 'Si4 H2 Pd16'
_cell_length_a 13.933
_cell_length_b 4.224
_cell_length_c 5.416
_cell_angle_alpha 90.00
_cell_angle_beta 102.61
_cell_angle_gamma 90.00
_symmetry_space_group_name_H-M 'C 1 2/m 1'
_symmetry_Int_Tables_number 12
loop_
_symmetry_equiv_pos_as_xyz
'x,y,z'
'-x,-y,-z'
'-x,y,-z'
'x,-y,z'
'x+1/2,y+1/2,z'
'-x+1/2,-y+1/2,-z'
'-x+1/2,y+1/2,-z'
'x+1/2,-y+1/2,z'
loop_
_atom_site_label
_atom_site_type_symbol
_atom_site_fract_x
_atom_site_fract_y
_atom_site_fract_z
_atom_site_occupancy
Si1 Si 0.150 0.000 0.152 1
H1 H 0.000 0.500 0.500 1
Pd1 Pd 0.031 0.000 0.770 1
Pd2 Pd 0.094 0.500 0.347 1
Pd3 Pd 0.176 0.500 0.911 1
Pd4 Pd 0.205 0.000 0.596 1
```

Size of the total moment ... 0.00 Bohr magnetons per cell

---

<ii>
A plane-wave DFT calculation with PBE was carried out for crystalline Si2HPd8 at its relaxed geometry.

CIF file:
```
data_Si2HPd8
_chemical_formula_sum 'Si2 H1 Pd8'
_cell_length_a 2.913
_cell_length_b 5.986
_cell_length_c 9.346
_cell_angle_alpha 101.33
_cell_angle_beta 90.08
_cell_angle_gamma 103.90
_symmetry_space_group_name_H-M 'P 1'
_symmetry_Int_Tables_number 1
loop_
_symmetry_equiv_pos_as_xyz
'x,y,z'
loop_
_atom_site_label
_atom_site_type_symbol
_atom_site_fract_x
_atom_site_fract_y
_atom_site_fract_z
_atom_site_occupancy
Si1 Si 0.000 0.000 0.000 1
Si2 Si 0.485 0.963 0.435 1
H1 H 0.301 0.482 0.218 1
Pd1 Pd 0.083 0.178 0.797 1
Pd2 Pd 0.089 0.177 0.302 1
Pd3 Pd 0.387 0.785 0.637 1
Pd4 Pd 0.394 0.786 0.133 1
Pd5 Pd 0.664 0.338 0.069 1
Pd6 Pd 0.664 0.340 0.577 1
Pd7 Pd 0.809 0.623 0.857 1
Pd8 Pd 0.816 0.626 0.366 1
```

Size of the total moment ... 0.00 Bohr magnetons per cell

---

Most stable to least stable, the ends of the list are <i> and <ii>.

---

<i>
A plane-wave DFT calculation with PBE was carried out for crystalline Sm2HPd at its relaxed geometry.

CIF file:
```
data_Sm2HPd
_chemical_formula_sum 'Sm6 H3 Pd3'
_cell_length_a 3.7960
_cell_length_b 3.7960
_cell_length_c 21.0071
_cell_angle_alpha 90.00
_cell_angle_beta 90.00
_cell_angle_gamma 120.00
_symmetry_space_group_name_H-M 'R 3 m'
_symmetry_Int_Tables_number 160
_symmetry_space_group_name_Hall 'R 3 -2"'
loop_
_atom_site_label
_atom_site_type_symbol
_atom_site_fract_x
_atom_site_fract_y
_atom_site_fract_z
_atom_site_occupancy
Sm1 Sm 0.0000 0.0000 0.0000 1
Sm2 Sm 0.0000 0.0000 0.1587 1
H1 H 0.0000 0.0000 0.7464 1
Pd1 Pd 0.0000 0.0000 0.5793 1
```

Size of the total moment ... 0.00 Bohr magnetons per cell

---

<ii>
A plane-wave DFT calculation with PBE was carried out for crystalline Sm2HPd at its relaxed geometry.

CIF file:
```
data_Sm2HPd
_chemical_formula_sum 'Sm6 H3 Pd3'
_cell_length_a 3.3882
_cell_length_b 3.3882
_cell_length_c 25.1928
_cell_angle_alpha 90.00
_cell_angle_beta 90.00
_cell_angle_gamma 120.00
_symmetry_space_group_name_H-M 'R -3 m'
_symmetry_Int_Tables_number 166
_symmetry_space_group_name_Hall '-R 3 2"'
loop_
_atom_site_label
_atom_site_type_symbol
_atom_site_fract_x
_atom_site_fract_y
_atom_site_fract_z
_atom_site_occupancy
Sm1 Sm 0.0000 0.0000 0.1063 1
H1 H 0.0000 0.0000 0.5000 1
Pd1 Pd 0.0000 0.0000 0.0000 1
```

Size of the total moment ... 0.00 Bohr magnetons per cell

---

<iii>
A plane-wave DFT calculation with PBE was carried out for crystalline Sm2HPd at its relaxed geometry.

CIF file:
```
data_Sm2HPd
_chemical_formula_sum 'Sm2 H1 Pd1'
_cell_length_a 3.358
_cell_length_b 3.358
_cell_length_c 7.107
_cell_angle_alpha 90.00
_cell_angle_beta 90.00
_cell_angle_gamma 90.00
_symmetry_space_group_name_H-M 'P 4/m m m'
_symmetry_Int_Tables_number 123
_symmetry_space_group_name_Hall '-P 4 2'
loop_
_atom_site_label
_atom_site_type_symbol
_atom_site_fract_x
_atom_site_fract_y
_atom_site_fract_z
_atom_site_occupancy
Sm1 Sm 0.000 0.000 0.236 1
H1 H 0.500 0.500 0.000 1
Pd1 Pd 0.500 0.500 0.500 1
```

Size of the total moment ... 0.00 Bohr magnetons per cell

---

Most stable to least stable, the ends of the list are <i> and <ii>.

---

<i>
A plane-wave DFT calculation with PBE was carried out for crystalline SmH2Pd at its relaxed geometry.

CIF file:
```
data_SmH2Pd
_chemical_formula_sum 'Sm4 H8 Pd4'
_cell_length_a 5.754
_cell_length_b 6.552
_cell_length_c 5.542
_cell_angle_alpha 90.00
_cell_angle_beta 99.49
_cell_angle_gamma 90.00
_symmetry_space_group_name_H-M 'P 1 21/c 1'
_symmetry_Int_Tables_number 14
loop_
_symmetry_equiv_pos_as_xyz
'x,y,z'
'-x,-y,-z'
'-x,y+1/2,-z+1/2'
'x,-y+1/2,z+1/2'
loop_
_atom_site_label
_atom_site_type_symbol
_atom_site_fract_x
_atom_site_fract_y
_atom_site_fract_z
_atom_site_occupancy
Sm1 Sm 0.219 0.088 0.351 1
H1 H 0.044 0.732 0.909 1
H2 H 0.500 0.158 0.760 1
Pd1 Pd 0.332 0.646 0.407 1
```

Size of the total moment ... 0.00 Bohr magnetons per cell

---

<ii>
A plane-wave DFT calculation with PBE was carried out for crystalline SmH2Pd at its relaxed geometry.

CIF file:
```
data_SmH2Pd
_chemical_formula_sum 'Sm3 H6 Pd3'
_cell_length_a 4.0918
_cell_length_b 4.0918
_cell_length_c 11.9348
_cell_angle_alpha 90.00
_cell_angle_beta 90.00
_cell_angle_gamma 120.00
_symmetry_space_group_name_H-M 'R -3 m'
_symmetry_Int_Tables_number 166
_symmetry_space_group_name_Hall '-R 3 2"'
loop_
_atom_site_label
_atom_site_type_symbol
_atom_site_fract_x
_atom_site_fract_y
_atom_site_fract_z
_atom_site_occupancy
Sm1 Sm 0.0000 0.0000 0.0000 1
H1 H 0.0000 0.0000 0.3578 1
Pd1 Pd 0.0000 0.0000 0.5000 1
```

Size of the total moment ... 0.00 Bohr magnetons per cell

---

Most stable to least stable, the ends of the list are <ii> and <i>.

---

<i>
A plane-wave DFT calculation with PBE was carried out for crystalline SnH2Pd at its relaxed geometry.

CIF file:
```
data_SnH2Pd
_chemical_formula_sum 'Sn4 H8 Pd4'
_cell_length_a 4.875
_cell_length_b 4.875
_cell_length_c 8.827
_cell_angle_alpha 90.00
_cell_angle_beta 90.00
_cell_angle_gamma 90.00
_symmetry_space_group_name_H-M 'I -4 2 d'
_symmetry_Int_Tables_number 122
_symmetry_space_group_name_Hall 'I -4 2bw'
loop_
_atom_site_label
_atom_site_type_symbol
_atom_site_fract_x
_atom_site_fract_y
_atom_site_fract_z
_atom_site_occupancy
Sn1 Sn 0.000 0.000 0.000 1
H1 H 0.115 0.250 0.625 1
Pd1 Pd 0.000 0.000 0.500 1
```

Size of the total moment ... 0.00 Bohr magnetons per cell

---

<ii>
A plane-wave DFT calculation with PBE was carried out for crystalline SnH2Pd at its relaxed geometry.

CIF file:
```
data_SnH2Pd
_chemical_formula_sum 'Sn4 H8 Pd4'
_cell_length_a 5.777
_cell_length_b 5.777
_cell_length_c 5.777
_cell_angle_alpha 90.00
_cell_angle_beta 90.00
_cell_angle_gamma 90.00
_symmetry_space_group_name_H-M 'F m -3 m'
_symmetry_Int_Tables_number 225
_symmetry_space_group_name_Hall '-F 4 2 3'
loop_
_atom_site_label
_atom_site_type_symbol
_atom_site_fract_x
_atom_site_fract_y
_atom_site_fract_z
_atom_site_occupancy
Sn1 Sn 0.000 0.000 0.000 1
H1 H 0.250 0.250 0.250 1
Pd1 Pd 0.000 0.000 0.500 1
```

Size of the total moment ... 0.00 Bohr magnetons per cell

---

Most stable to least stable, the ends of the list are <i> and <ii>.